{
  "formula": "TiV3",
  "functional": "GGA-PBE",
  "state": "relaxed",
  "dft_energy_ev_per_atom": -8.579,
  "formation_energy_ev_per_fu": 0.9,
  "crystal_system": "cubic",
  "lattice_angstrom": [[3.888, 0.000, 0.000], [0.000, 3.888, 0.000], [0.000, 0.000, 3.888]],
  "species": ["Ti", "V", "V", "V"],
  "fractional_positions": [[0.000, 0.000, 0.000], [0.000, 0.500, 0.500], [0.500, 0.000, 0.500], [0.500, 0.500, 0.000]]
}

---

{
  "formula": "GeSbBr3",
  "functional": "GGA-PBE",
  "state": "relaxed",
  "dft_energy_ev_per_atom": -2.697,
  "polymorph_energy_ev_per_atom": 0.0000,
  "raw_formation_energy_ev_per_fu": 0.27,
  "crystal_system": "cubic",
  "lattice_angstrom": [[5.464, 0.000, 0.000], [0.000, 5.464, 0.000], [0.000, 0.000, 5.464]],
  "species": ["Ge", "Sb", "Br", "Br", "Br"],
  "fractional_positions": [[0.000, 0.000, 0.000], [0.500, 0.500, 0.500], [0.000, 0.000, 0.500], [0.000, 0.500, 0.000], [0.500, 0.000, 0.000]]
}

---

{
  "formula": "HfRuN2O",
  "functional": "GGA-PBE",
  "state": "relaxed",
  "dft_energy_ev_per_atom": -8.015,
  "raw_formation_energy_ev_per_fu": 0.76,
  "crystal_system": "tetragonal",
  "lattice_angstrom": [[3.621, 0.000, 0.000], [0.000, 3.621, 0.000], [0.000, 0.000, 5.515]],
  "species": ["Hf", "Ru", "N", "N", "O"],
  "fractional_positions": [[0.000, 0.000, 0.000], [0.000, 0.000, 0.500], [0.000, 0.500, 0.500], [0.500, 0.000, 0.500], [0.500, 0.500, 0.000]]
}

---

{
  "formula": "La2Tb2PrNd2",
  "functional": "GGA-PBE",
  "state": "relaxed",
  "dft_energy_ev_per_atom": -4.755,
  "formation_energy_ev_per_fu": 0.1,
  "crystal_system": "monoclinic",
  "lattice_angstrom": [[5.804, -2.592, 0.000], [5.804, 2.592, 0.000], [-1.141, 0.000, 8.153]],
  "species": ["La", "La", "Tb", "Tb", "Pr", "Nd", "Nd"],
  "fractional_positions": [[0.142, 0.142, 0.428], [0.858, 0.858, 0.572], [0.429, 0.429, 0.286], [0.571, 0.571, 0.714], [0.000, 0.000, 0.000], [0.285, 0.285, 0.858], [0.715, 0.715, 0.142]]
}

---

{
  "formula": "LiMg2FePd",
  "functional": "GGA-PBE",
  "state": "relaxed",
  "dft_energy_ev_per_atom": -3.162,
  "formation_energy_ev_per_fu": 2.9,
  "crystal_system": "tetragonal",
  "lattice_angstrom": [[4.536, 0.000, 0.000], [0.000, 4.536, 0.000], [0.000, 0.000, 4.085]],
  "species": ["Li", "Mg", "Mg", "Fe", "Pd"],
  "fractional_positions": [[0.000, 0.000, 0.000], [0.000, 0.500, 0.000], [0.500, 0.000, 0.000], [0.000, 0.000, 0.500], [0.500, 0.500, 0.500]]
}

---

{
  "formula": "Sm6In3Rh",
  "functional": "GGA-PBE",
  "state": "relaxed",
  "dft_energy_ev_per_atom": -4.785,
  "polymorph_energy_ev_per_atom": 0.0193,
  "formation_energy_ev_per_fu": -4.0,
  "crystal_system": "orthorhombic",
  "lattice_angstrom": [[9.228, 0.000, 0.000], [0.000, 11.762, 0.000], [0.000, 0.000, 5.324]],
  "species": ["Sm", "Sm", "Sm", "Sm", "Sm", "Sm", "Sm", "Sm", "Sm", "Sm", "Sm", "Sm", "In", "In", "In", "In", "In", "In", "Rh", "Rh"],
  "fractional_positions": [[0.010, 0.236, 0.000], [0.158, 0.082, 0.500], [0.186, 0.416, 0.500], [0.314, 0.916, 0.000], [0.342, 0.582, 0.000], [0.490, 0.736, 0.500], [0.510, 0.264, 0.500], [0.658, 0.418, 0.000], [0.686, 0.084, 0.000], [0.814, 0.584, 0.500], [0.842, 0.918, 0.500], [0.990, 0.764, 0.000], [0.000, 0.500, 0.000], [0.156, 0.730, 0.500], [0.344, 0.230, 0.000], [0.500, 0.000, 0.500], [0.656, 0.770, 0.000], [0.844, 0.270, 0.500], [0.000, 0.000, 0.000], [0.500, 0.500, 0.500]]
}

---

{
  "formula": "Tb4In3Ni",
  "functional": "GGA-PBE",
  "state": "relaxed",
  "dft_energy_ev_per_atom": -4.512,
  "formation_energy_ev_per_fu": -3.6,
  "crystal_system": "tetragonal",
  "lattice_angstrom": [[3.515, 0.000, 0.000], [0.000, 3.515, 0.000], [0.000, 0.000, 16.210]],
  "species": ["Tb", "Tb", "Tb", "Tb", "In", "In", "In", "Ni"],
  "fractional_positions": [[0.000, 0.000, 0.100], [0.000, 0.000, 0.367], [0.000, 0.000, 0.633], [0.000, 0.000, 0.900], [0.500, 0.500, 0.235], [0.500, 0.500, 0.500], [0.500, 0.500, 0.765], [0.500, 0.500, 0.000]]
}

---

{
  "formula": "Mg2FeNiH",
  "functional": "GGA-PBE",
  "state": "relaxed",
  "dft_energy_ev_per_atom": -4.110,
  "crystal_system": "tetragonal",
  "lattice_angstrom": [[4.246, 0.000, 0.000], [0.000, 4.246, 0.000], [0.000, 0.000, 3.343]],
  "species": ["Mg", "Mg", "Fe", "Ni", "H"],
  "fractional_positions": [[0.000, 0.500, 0.000], [0.500, 0.000, 0.000], [0.000, 0.000, 0.500], [0.500, 0.500, 0.500], [0.000, 0.000, 0.000]]
}

---

{
  "formula": "NaSbTe",
  "functional": "GGA-PBE",
  "state": "relaxed",
  "dft_energy_ev_per_atom": -3.286,
  "polymorph_energy_ev_per_atom": 0.0329,
  "raw_formation_energy_ev_per_fu": -1.27,
  "crystal_system": "triclinic",
  "lattice_angstrom": [[4.983, 0.000, 0.000], [2.379, 4.892, 0.000], [2.417, 0.905, 9.043]],
  "species": ["Na", "Na", "Sb", "Sb", "Te", "Te"],
  "fractional_positions": [[0.000, 0.000, 0.000], [0.373, 0.521, 0.705], [0.238, 0.184, 0.316], [0.581, 0.538, 0.289], [0.081, 0.170, 0.624], [0.687, 0.632, 0.976]]
}

---

{
  "formula": "CsNiSe",
  "functional": "GGA-PBE",
  "state": "relaxed",
  "dft_energy_ev_per_atom": -3.875,
  "raw_formation_energy_ev_per_fu": -1.51,
  "crystal_system": "hexagonal",
  "lattice_angstrom": [[4.060, 0.000, 0.000], [-2.030, 3.516, 0.000], [0.000, 0.000, 5.792]],
  "species": ["Cs", "Ni", "Se"],
  "fractional_positions": [[0.000, 0.000, 0.000], [0.667, 0.333, 0.500], [0.333, 0.667, 0.500]]
}

---

{
  "formula": "AcLaPd6",
  "functional": "GGA-PBE",
  "state": "relaxed",
  "dft_energy_ev_per_atom": -5.779,
  "formation_energy_ev_per_fu": -6.0,
  "crystal_system": "tetragonal",
  "lattice_angstrom": [[4.276, 0.000, 0.000], [0.000, 4.276, 0.000], [0.000, 0.000, 8.551]],
  "species": ["Ac", "La", "Pd", "Pd", "Pd", "Pd", "Pd", "Pd"],
  "fractional_positions": [[0.000, 0.000, 0.000], [0.000, 0.000, 0.500], [0.000, 0.500, 0.255], [0.000, 0.500, 0.745], [0.500, 0.000, 0.255], [0.500, 0.000, 0.745], [0.500, 0.500, 0.000], [0.500, 0.500, 0.500]]
}

---

{
  "formula": "Cs2SnBr4",
  "functional": "GGA-PBE",
  "state": "relaxed",
  "dft_energy_ev_per_atom": -3.155,
  "raw_formation_energy_ev_per_fu": -9.69,
  "crystal_system": "tetragonal",
  "lattice_angstrom": [[-2.937, 2.937, 9.150], [2.937, -2.937, 9.150], [2.937, 2.937, -9.150]],
  "species": ["Cs", "Cs", "Sn", "Br", "Br", "Br", "Br"],
  "fractional_positions": [[0.141, 0.141, 0.000], [0.859, 0.859, 0.000], [0.500, 0.500, 0.000], [0.000, 0.500, 0.500], [0.337, 0.337, 0.000], [0.500, 0.000, 0.500], [0.663, 0.663, 0.000]]
}